[1]
First-principles (PBE) data for a geometry-optimized AlCdSi structure, as listed in Alexandria via LeMat-Bulk.

Symmetry: P1 (1)
V, Å³/cell: 123.37
E_form (uncorrected), eV/f.u.: 0.568

Cell: 4.114 5.964 5.980 Å, 98.38 110.27 109.99°
Sites, in units of the cell vectors:
Si (0.069, 0.673, 0.918)
Si (0.165, 0.407, 0.184)
Cd (0.502, 0.929, 0.439)
Cd (0.327, 0.252, 0.764)
Al (0.832, 0.477, 0.454)
Al (0.742, 0.943, 0.987)



[2]
First-principles (PBE) data for a geometry-optimized TaPbSe structure, as listed in Alexandria via LeMat-Bulk.

Symmetry: F-43m (216)
V, Å³/cell: 74.49
Polymorph energy (0 for the lowest one), eV per formula unit: 2.38
E_form (uncorrected), eV/f.u.: 1.760

Cell: 4.723 4.723 4.723 Å, 60.00 60.00 60.00°
Sites, in units of the cell vectors:
Ta (0.750, 0.750, 0.750)
Se (0.500, 0.500, 0.500)
Pb (0.000, 0.000, 0.000)



[3]
First-principles (PBE) data for a geometry-optimized TmNb3Ru4 structure, as listed in Alexandria via LeMat-Bulk.

Calculated formation energy, eV per atom: -0.2779
Symmetry: P4/mmm (123)
V, Å³/cell: 266.69

Cell: 4.586 6.343 9.168 Å, 90.00 90.00 90.00°
Sites, in units of the cell vectors:
Ru (0.000, 0.758, 0.250)
Ru (0.000, 0.758, 0.750)
Ru (0.000, 0.242, 0.750)
Ru (0.500, 0.242, 0.500)
Ru (0.000, 0.242, 0.250)
Ru (0.500, 0.242, 0.000)
Ru (0.500, 0.758, 0.500)
Ru (0.500, 0.758, 0.000)
Tm (0.000, 0.500, 0.500)
Tm (0.000, 0.500, 0.000)
Nb (0.500, 0.500, 0.750)
Nb (0.000, 0.000, 0.500)
Nb (0.500, 0.000, 0.750)
Nb (0.500, 0.000, 0.250)
Nb (0.500, 0.500, 0.250)
Nb (0.000, 0.000, 0.000)



[4]
First-principles (PBE) data for a geometry-optimized MnZnCo2 structure, as listed in Alexandria via LeMat-Bulk.

Calculated formation energy, eV per atom: 0.0412
Symmetry: P4mm (99)
V, Å³/cell: 49.20

Cell: 2.700 2.700 6.749 Å, 90.00 90.00 90.00°
Sites, in units of the cell vectors:
Co (0.500, 0.500, 0.235)
Co (0.000, 0.000, 0.018)
Mn (0.000, 0.000, 0.483)
Zn (0.500, 0.500, 0.764)



[5]
First-principles (PBE) data for a geometry-optimized CaInCo3 structure, as listed in Alexandria via LeMat-Bulk.

Calculated formation energy, eV per atom: 1.0142
Symmetry: Pm-3m (221)
V, Å³/cell: 110.00
Polymorph energy (0 for the lowest one), eV per formula unit: 0.00

Cell: 4.791 4.791 4.791 Å, 90.00 90.00 90.00°
Sites, in units of the cell vectors:
Ca (0.500, 0.500, 0.500)
Co (0.000, 0.000, 0.500)
Co (0.500, 0.000, 0.000)
Co (0.000, 0.500, 0.000)
In (0.000, 0.000, 0.000)



[6]
First-principles (PBE) data for a geometry-optimized AcGa3Rh structure, as listed in Alexandria via LeMat-Bulk.

Calculated formation energy, eV per atom: -0.4955
Symmetry: Pm-3m (221)
V, Å³/cell: 113.23

Cell: 4.838 4.838 4.838 Å, 90.00 90.00 90.00°
Sites, in units of the cell vectors:
Ac (0.500, 0.500, 0.500)
Ga (0.000, 0.500, 0.000)
Ga (0.000, 0.000, 0.500)
Ga (0.500, 0.000, 0.000)
Rh (0.000, 0.000, 0.000)



[7]
First-principles (PBE) data for a geometry-optimized Al3TcNi12 structure, as listed in Alexandria via LeMat-Bulk.

Calculated formation energy, eV per atom: -0.3207
Symmetry: P4/mmm (123)
V, Å³/cell: 182.73

Cell: 3.578 3.578 14.273 Å, 90.00 90.00 90.00°
Sites, in units of the cell vectors:
Ni (0.500, 0.000, 0.125)
Ni (0.500, 0.500, 0.500)
Ni (0.000, 0.500, 0.624)
Ni (0.500, 0.000, 0.875)
Ni (0.500, 0.500, 0.250)
Ni (0.000, 0.500, 0.376)
Ni (0.000, 0.500, 0.875)
Ni (0.500, 0.000, 0.624)
Ni (0.000, 0.500, 0.125)
Ni (0.500, 0.000, 0.376)
Ni (0.500, 0.500, 0.750)
Ni (0.500, 0.500, 0.000)
Al (0.000, 0.000, 0.500)
Al (0.000, 0.000, 0.256)
Al (0.000, 0.000, 0.744)
Tc (0.000, 0.000, 0.000)



[8]
First-principles (PBE) data for a geometry-optimized Ba2B4Ir3 structure, as listed in Alexandria via LeMat-Bulk.

Calculated formation energy, eV per atom: 0.1085
Symmetry: Fmmm (69)
V, Å³/cell: 173.80

Cell: 5.715 5.715 6.725 Å, 102.82 102.82 118.53°
Sites, in units of the cell vectors:
B (0.276, 0.938, 0.215)
B (0.938, 0.276, 0.215)
B (0.724, 0.062, 0.785)
B (0.062, 0.724, 0.785)
Ba (0.339, 0.339, 0.678)
Ba (0.661, 0.661, 0.322)
Ir (0.500, 0.000, 0.000)
Ir (0.000, 0.000, 0.000)
Ir (0.000, 0.500, 0.000)



[9]
First-principles (PBE) data for a geometry-optimized KCaCuH4 structure, as listed in Alexandria via LeMat-Bulk.

Symmetry: P2_1/m (11)
V, Å³/cell: 207.47

Cell: 5.247 5.325 8.637 Å, 90.00 120.73 90.00°
Sites, in units of the cell vectors:
Cu (0.114, 0.750, 0.315)
Cu (0.886, 0.250, 0.685)
H (0.653, 0.250, 0.467)
H (0.712, 0.250, 0.795)
H (0.347, 0.750, 0.533)
H (0.105, 0.010, 0.718)
H (0.288, 0.750, 0.205)
H (0.105, 0.490, 0.718)
H (0.895, 0.990, 0.282)
H (0.895, 0.510, 0.282)
K (0.340, 0.250, 0.104)
K (0.660, 0.750, 0.896)
Ca (0.761, 0.750, 0.479)
Ca (0.239, 0.250, 0.521)



[10]
First-principles (PBE) data for a geometry-optimized TbPrYHo2 structure, as listed in Alexandria via LeMat-Bulk.

Calculated formation energy, eV per atom: 0.3716
Symmetry: Cmcm (63)
V, Å³/cell: 349.37

Cell: 7.208 8.393 7.139 Å, 126.00 90.00 90.00°
Sites, in units of the cell vectors:
Ho (0.500, 0.689, 0.000)
Ho (0.000, 0.311, 0.000)
Ho (0.500, 0.311, 0.000)
Ho (0.000, 0.689, 0.000)
Pr (0.250, 0.722, 0.444)
Pr (0.750, 0.278, 0.556)
Y (0.750, 0.730, 0.459)
Y (0.250, 0.270, 0.541)
Tb (0.250, 0.989, 0.978)
Tb (0.750, 0.011, 0.022)



[11]
First-principles (PBE) data for a geometry-optimized CsInTcSn2 structure, as listed in Alexandria via LeMat-Bulk.

Calculated formation energy, eV per atom: -0.0013
Symmetry: P4/mmm (123)
V, Å³/cell: 148.82

Cell: 5.268 5.268 5.362 Å, 90.00 90.00 90.00°
Sites, in units of the cell vectors:
Sn (0.500, 0.000, 0.000)
Sn (0.000, 0.500, 0.000)
In (0.000, 0.000, 0.500)
Tc (0.000, 0.000, 0.000)
Cs (0.500, 0.500, 0.500)



[12]
First-principles (PBE) data for a geometry-optimized CdRuCl2 structure, as listed in Alexandria via LeMat-Bulk.

Symmetry: P2/m (10)
V, Å³/cell: 109.66
Polymorph energy (0 for the lowest one), eV per formula unit: 0.26
E_form (uncorrected), eV/f.u.: -0.524

Cell: 3.562 6.224 6.218 Å, 52.70 90.00 90.00°
Sites, in units of the cell vectors:
Ru (0.500, 0.250, 0.250)
Cl (0.000, 0.112, 0.111)
Cl (0.000, 0.388, 0.389)
Cd (0.500, 0.750, 0.750)



Number 1: E_tot -3.171 eV per atom, DOS(E_F) 0.220 states/eV per atom. Number 2: E_tot -5.762 eV per atom, DOS(E_F) 0.858 states/eV per atom. Number 3: E_tot -9.251 eV per atom, DOS(E_F) 0.965 states/eV per atom. Number 4: E_tot -6.123 eV per atom, DOS(E_F) 0.814 states/eV per atom. Number 5: E_tot -4.197 eV per atom, DOS(E_F) 4.928 states/eV per atom. Number 6: E_tot -4.604 eV per atom, DOS(E_F) 0.716 states/eV per atom. Number 7: E_tot -6.006 eV per atom, DOS(E_F) 1.096 states/eV per atom. Number 8: E_tot -6.240 eV per atom, DOS(E_F) 0.512 states/eV per atom. Number 9: E_tot -3.304 eV per atom, DOS(E_F) 0.000 states/eV per atom. Number 10: E_tot -4.634 eV per atom, DOS(E_F) 1.474 states/eV per atom. Number 11: E_tot -4.394 eV per atom, DOS(E_F) 0.490 states/eV per atom. Number 12: E_tot -3.602 eV per atom, DOS(E_F) 1.046 states/eV per atom.